Record 1
Density functional theory data (PBE-GGA) for Cr2IrPt2 after structural relaxation.

The structure in CIF format:
```
data_Cr2IrPt2
_cell_length_a 7.2968
_cell_length_b 7.2968
_cell_length_c 2.6919
_cell_angle_alpha 90.00
_cell_angle_beta 90.00
_cell_angle_gamma 90.00
_symmetry_space_group_name_H-M 'P 4/m b m'
_symmetry_Int_Tables_number 127
_symmetry_space_group_name_Hall '-P 4 2ab'
loop_
_atom_site_label
_atom_site_fract_x
_atom_site_fract_y
_atom_site_fract_z
Cr1 0.1702 0.3298 0.0000
Ir1 0.0000 0.0000 0.5000
Pt1 0.1291 0.6291 0.5000
```

Output
- Calculated volume: 14.332 Å³ per atom
- Total DFT energy (no corrections): -7.93 eV/atom
- Fermi-level density of states: 9.9 states/eV per cell
- Energy of formation from the pure elements: 10.5 kJ per mole of atoms



Record 2
Density functional theory data (PBE-GGA) for SrAl2VCl after structural relaxation.

The structure in CIF format:
```
data_SrAl2VCl
_cell_length_a 5.3093
_cell_length_b 5.3093
_cell_length_c 4.5668
_cell_angle_alpha 90.00
_cell_angle_beta 90.00
_cell_angle_gamma 90.00
_symmetry_space_group_name_H-M 'P 4/m m m'
_symmetry_Int_Tables_number 123
_symmetry_space_group_name_Hall '-P 4 2'
loop_
_atom_site_label
_atom_site_fract_x
_atom_site_fract_y
_atom_site_fract_z
Sr1 0.0000 0.0000 0.0000
Al1 0.0000 0.5000 0.5000
V1 0.5000 0.5000 0.0000
Cl1 0.5000 0.5000 0.5000
```

Output
- Calculated volume: 25.746 Å³ per atom
- Formation energy (no corrections): 379 meV per atom
- Total DFT energy (no corrections): -3.65 eV/atom
- Fermi-level density of states: 3.6 states/eV per cell



Record 3
Density functional theory data (PBE-GGA) for Tb2YZn after structural relaxation.

The structure in CIF format:
```
data_Tb2YZn
_cell_length_a 4.7504
_cell_length_b 4.7504
_cell_length_c 4.7782
_cell_angle_alpha 90.00
_cell_angle_beta 90.00
_cell_angle_gamma 90.00
_symmetry_space_group_name_H-M 'P 4/m m m'
_symmetry_Int_Tables_number 123
_symmetry_space_group_name_Hall '-P 4 2'
loop_
_atom_site_label
_atom_site_fract_x
_atom_site_fract_y
_atom_site_fract_z
Tb1 0.0000 0.5000 0.0000
Y1 0.0000 0.0000 0.5000
Zn1 0.5000 0.5000 0.5000
```

Output
- Calculated volume: 26.957 Å³ per atom
- Total DFT energy (no corrections): -4.28 eV/atom
- Fermi-level density of states: 5.4 states/eV per cell
- Energy of formation from the pure elements: -2.7 kJ per mole of atoms



Record 4
Density functional theory data (PBE-GGA) for TiTc2Sn after structural relaxation.

The structure in CIF format:
```
data_TiTc2Sn
_cell_length_a 4.4330
_cell_length_b 4.4330
_cell_length_c 3.2783
_cell_angle_alpha 90.00
_cell_angle_beta 90.00
_cell_angle_gamma 90.00
_symmetry_space_group_name_H-M 'P 4/m m m'
_symmetry_Int_Tables_number 123
_symmetry_space_group_name_Hall '-P 4 2'
loop_
_atom_site_label
_atom_site_fract_x
_atom_site_fract_y
_atom_site_fract_z
Ti1 0.0000 0.0000 0.0000
Tc1 0.0000 0.5000 0.5000
Sn1 0.5000 0.5000 0.0000
```

Output
- Calculated volume: 16.106 Å³ per atom
- Total DFT energy (no corrections): -8.36 eV/atom
- Fermi-level density of states: 5.6 states/eV per cell
- Energy of formation from the pure elements: -19.8 kJ per mole of atoms



Record 5
Density functional theory data (PBE-GGA) for SrMg4Cd8 after structural relaxation.

The structure in CIF format:
```
data_SrMg4Cd8
_cell_length_a 10.0406
_cell_length_b 10.0406
_cell_length_c 6.0706
_cell_angle_alpha 90.00
_cell_angle_beta 90.00
_cell_angle_gamma 90.00
_symmetry_space_group_name_H-M 'I 4/m m m'
_symmetry_Int_Tables_number 139
_symmetry_space_group_name_Hall '-I 4 2'
loop_
_atom_site_label
_atom_site_fract_x
_atom_site_fract_y
_atom_site_fract_z
Sr1 0.0000 0.0000 0.0000
Mg1 0.2500 0.2500 0.2500
Cd1 0.0000 0.2179 0.5000
Cd2 0.0000 0.3491 0.0000
```

Output
- Calculated volume: 23.539 Å³ per atom
- Total DFT energy (no corrections): -1.35 eV/atom
- Fermi-level density of states: 11.6 states/eV per cell
- Energy of formation from the pure elements: -16.0 kJ per mole of atoms



Record 6
Density functional theory data (PBE-GGA) for CsVS2 after structural relaxation.

The structure in CIF format:
```
data_CsVS2
_cell_length_a 4.0280
_cell_length_b 3.9215
_cell_length_c 14.6702
_cell_angle_alpha 90.00
_cell_angle_beta 90.00
_cell_angle_gamma 90.00
_symmetry_space_group_name_H-M 'A m m 2'
_symmetry_Int_Tables_number 38
_symmetry_space_group_name_Hall 'A 2 -2'
loop_
_atom_site_label
_atom_site_fract_x
_atom_site_fract_y
_atom_site_fract_z
Cs1 0.0000 0.0000 0.0000
V1 0.5000 0.0000 0.7684
S1 0.0000 0.0000 0.6937
S2 0.5000 0.0000 0.3540
```

Output
- Calculated volume: 28.966 Å³ per atom
- Formation energy (no corrections): -897 meV per atom
- Total DFT energy (no corrections): -5.45 eV/atom
- Fermi-level density of states: 3.5 states/eV per cell



Record 7
Density functional theory data (PBE-GGA) for Tb12Zn3N5 after structural relaxation.

The structure in CIF format:
```
data_Tb12Zn3N5
_cell_length_a 15.4382
_cell_length_b 15.4382
_cell_length_c 15.4382
_cell_angle_alpha 90.00
_cell_angle_beta 90.00
_cell_angle_gamma 90.00
_symmetry_space_group_name_H-M 'I a -3 d'
_symmetry_Int_Tables_number 230
_symmetry_space_group_name_Hall '-I 4bd 2c 3'
loop_
_atom_site_label
_atom_site_fract_x
_atom_site_fract_y
_atom_site_fract_z
Tb1 0.0353 0.0525 0.6490
Zn1 0.0000 0.2500 0.1250
N1 0.0000 0.0000 0.0000
N2 0.0000 0.2500 0.3750
```

Output
- Calculated volume: 22.997 Å³ per atom
- Formation energy (no corrections): -768 meV per atom
- Total DFT energy (no corrections): -5.82 eV/atom
- Fermi-level density of states: 118.9 states/eV per cell



Record 8
Density functional theory data (PBE-GGA) for NaMnNbW2 after structural relaxation.

The structure in CIF format:
```
data_NaMnNbW2
_cell_length_a 4.6988
_cell_length_b 4.6988
_cell_length_c 4.0140
_cell_angle_alpha 90.00
_cell_angle_beta 90.00
_cell_angle_gamma 90.00
_symmetry_space_group_name_H-M 'P 4/m m m'
_symmetry_Int_Tables_number 123
_symmetry_space_group_name_Hall '-P 4 2'
loop_
_atom_site_label
_atom_site_fract_x
_atom_site_fract_y
_atom_site_fract_z
Na1 0.0000 0.0000 0.0000
Mn1 0.0000 0.0000 0.5000
Nb1 0.5000 0.5000 0.5000
W1 0.0000 0.5000 0.0000
```

Output
- Calculated volume: 17.725 Å³ per atom
- Total DFT energy (no corrections): -6.92 eV/atom
- Fermi-level density of states: 5.9 states/eV per cell
- Energy of formation from the pure elements: 229.0 kJ per mole of atoms